# 1
Density functional theory data (PBE-GGA) for Al2Cr after structural relaxation. Values from VASP.

Values from the calculation:
total DFT energy (no corrections)	-5.7556	eV per atom
crystal system	monoclinic
space group	C2/m
ΔE_f	-0.053	eV per atom

Geometry as Quantum ESPRESSO input:
```
&SYSTEM
  ibrav = 0, nat = 12, ntyp = 2
/
ATOMIC_SPECIES
Al 26.98 Al.upf
Cr 52.00 Cr.upf
CELL_PARAMETERS angstrom
9.3817 0.0000 0.0000
0.0000 3.1370 0.0000
-1.7711 0.0000 5.6812
ATOMIC_POSITIONS angstrom
Al -0.4843 0.0000 1.5950
Al 1.4059 1.5685 0.4961
Al 1.5139 0.0000 5.1850
Al 3.4041 1.5685 4.0862
Al 4.2065 1.5685 1.5950
Al 6.0967 0.0000 0.4961
Al 6.2047 1.5685 5.1850
Al 8.0949 0.0000 4.0862
Cr 0.6848 1.5685 3.3327
Cr 2.2349 0.0000 2.3485
Cr 5.3757 0.0000 3.3327
Cr 6.9258 1.5685 2.3485
```

=====

# 2
Density functional theory data (PBE-GGA) for SrCa2PtN after structural relaxation. Values from VASP.

Values from the calculation:
total DFT energy (no corrections)	-4.6993	eV per atom
crystal system	tetragonal
space group	P4/mmm
uncorrected formation energy	-0.689	eV per atom

Geometry as Quantum ESPRESSO input:
```
&SYSTEM
  ibrav = 0, nat = 5, ntyp = 4
/
ATOMIC_SPECIES
Sr 87.62 Sr.upf
Ca 40.08 Ca.upf
Pt 195.08 Pt.upf
N 14.01 N.upf
CELL_PARAMETERS angstrom
4.7527 0.0000 0.0000
0.0000 4.7527 0.0000
0.0000 0.0000 5.1835
ATOMIC_POSITIONS angstrom
Sr 0.0000 0.0000 0.0000
Ca 0.0000 2.3763 2.5917
Ca 2.3763 0.0000 2.5917
Pt 2.3763 2.3763 0.0000
N 0.0000 0.0000 2.5917
```

=====

# 3
Density functional theory data (PBE-GGA) for NaInSn after structural relaxation. Values from VASP.

Values from the calculation:
total DFT energy (no corrections)	-2.7147	eV per atom
crystal system	orthorhombic
space group	Cmcm
ΔE_f	-0.028	eV per atom

Geometry as Quantum ESPRESSO input:
```
&SYSTEM
  ibrav = 0, nat = 12, ntyp = 3
/
ATOMIC_SPECIES
Na 22.99 Na.upf
In 114.82 In.upf
Sn 118.71 Sn.upf
CELL_PARAMETERS angstrom
5.3087 0.0000 0.0000
0.0000 9.1930 0.0000
0.0000 0.0000 6.5303
ATOMIC_POSITIONS angstrom
Na 0.0000 1.5373 1.6326
Na 0.0000 7.6557 4.8977
Na 2.6544 3.0592 4.8977
Na 2.6544 6.1338 1.6326
In 0.0000 4.5965 0.0000
In 0.0000 4.5965 3.2652
In 2.6544 0.0000 0.0000
In 2.6544 0.0000 3.2652
Sn 0.0000 1.5278 4.8977
Sn 0.0000 7.6652 1.6326
Sn 2.6544 3.0687 1.6326
Sn 2.6544 6.1243 4.8977
```

=====

# 4
Density functional theory data (PBE-GGA) for Si3Os4 after structural relaxation. Values from VASP.

Values from the calculation:
total DFT energy (no corrections)	-8.8156	eV per atom
crystal system	tetragonal
space group	I4/mmm
energy above the most stable polymorph in this dataset	0.00	eV/f.u.
uncorrected formation energy	-0.074	eV per atom

Geometry as Quantum ESPRESSO input:
```
&SYSTEM
  ibrav = 0, nat = 14, ntyp = 2
/
ATOMIC_SPECIES
Si 28.09 Si.upf
Os 190.23 Os.upf
CELL_PARAMETERS angstrom
3.0180 0.0000 0.0000
0.0000 3.0180 0.0000
0.0000 0.0000 20.8169
ATOMIC_POSITIONS angstrom
Si 0.0000 0.0000 0.0000
Si 0.0000 0.0000 5.9167
Si 0.0000 0.0000 14.9003
Si 1.5090 1.5090 4.4918
Si 1.5090 1.5090 10.4085
Si 1.5090 1.5090 16.3251
Os 0.0000 0.0000 3.3814
Os 0.0000 0.0000 9.0533
Os 0.0000 0.0000 11.7637
Os 0.0000 0.0000 17.4355
Os 1.5090 1.5090 1.3552
Os 1.5090 1.5090 7.0270
Os 1.5090 1.5090 13.7899
Os 1.5090 1.5090 19.4618
```

=====

# 5
Density functional theory data (PBE-GGA) for Ti2Al7Zn2 after structural relaxation. Values from VASP.

Values from the calculation:
total DFT energy (no corrections)	-4.1003	eV per atom
crystal system	orthorhombic
space group	Imm2
energy above the most stable polymorph in this dataset	1.77	eV/f.u.
ΔE_f	-0.052	eV per atom

Geometry as Quantum ESPRESSO input:
```
&SYSTEM
  ibrav = 0, nat = 11, ntyp = 3
/
ATOMIC_SPECIES
Ti 47.87 Ti.upf
Al 26.98 Al.upf
Zn 65.41 Zn.upf
CELL_PARAMETERS angstrom
-1.9765 5.5295 4.3878
1.9765 -5.5295 4.3878
1.9765 5.5295 -4.3878
ATOMIC_POSITIONS angstrom
Ti 0.0000 2.2849 0.0000
Ti 0.0000 8.7741 0.0000
Al 1.9765 -1.8143 1.9358
Al 0.0000 0.0000 1.4548
Al 1.9765 1.8143 1.9358
Al 1.9765 4.1180 0.4813
Al 0.0000 3.6064 2.4863
Al 0.0000 1.4115 4.8691
Al 0.0000 7.4526 2.4863
Zn 1.9765 0.0000 3.8539
Zn 0.0000 0.0000 7.3836
```

=====

# 6
Density functional theory data (PBE-GGA) for TiCrTcPd after structural relaxation. Values from VASP.

Values from the calculation:
total DFT energy (no corrections)	-8.4444	eV per atom
crystal system	cubic
space group	F-43m
ΔE_f	-0.175	eV per atom

Geometry as Quantum ESPRESSO input:
```
&SYSTEM
  ibrav = 0, nat = 16, ntyp = 4
/
ATOMIC_SPECIES
Ti 47.87 Ti.upf
Cr 52.00 Cr.upf
Tc 98.00 Tc.upf
Pd 106.42 Pd.upf
CELL_PARAMETERS angstrom
6.1731 0.0000 0.0000
0.0000 6.1731 0.0000
0.0000 0.0000 6.1731
ATOMIC_POSITIONS angstrom
Ti 0.0000 0.0000 0.0000
Ti 0.0000 3.0865 3.0865
Ti 3.0865 0.0000 3.0865
Ti 3.0865 3.0865 0.0000
Cr 0.0000 0.0000 3.0865
Cr 0.0000 3.0865 0.0000
Cr 3.0865 0.0000 0.0000
Cr 3.0865 3.0865 3.0865
Tc 1.5433 1.5433 1.5433
Tc 1.5433 4.6298 4.6298
Tc 4.6298 1.5433 4.6298
Tc 4.6298 4.6298 1.5433
Pd 1.5433 1.5433 4.6298
Pd 1.5433 4.6298 1.5433
Pd 4.6298 1.5433 1.5433
Pd 4.6298 4.6298 4.6298
```